Density functional theory data (PBE) for a geometry-optimized Ho2ErTl2 structure.

Values from the calculation:
D(E_F)   7.004 states/eV per cell
Symmetry   No. 2
E_tot   -39.6 eV/cell

Cell: 5.223 6.619 10.456 Å, 66.76 60.02 66.72°
Fractional coordinates of all 10 atoms:
Er: 0.289 0.133 0.644
Tl: 0.911 0.271 0.954
Ho: 0.499 0.499 0.250
Tl: 0.908 0.271 0.455
Ho: 0.501 0.501 0.750
Ho: 0.710 0.868 0.855
Er: 0.711 0.867 0.356
Tl: 0.089 0.729 0.046
Ho: 0.290 0.132 0.145
Tl: 0.092 0.729 0.545